# 1
First-principles (PBE) data for Sr3AlH6Se2 after structural relaxation, as listed in Alexandria.

```
data_Sr3AlH6Se2
_cell_length_a 13.283
_cell_length_b 7.341
_cell_length_c 4.742
_cell_angle_alpha 90.00
_cell_angle_beta 97.49
_cell_angle_gamma 90.00
_symmetry_space_group_name_H-M 'C 1 2/m 1'
_symmetry_Int_Tables_number 12
_symmetry_space_group_name_Hall '-C 2y'
loop_
_atom_site_label
_atom_site_type_symbol
_atom_site_fract_x
_atom_site_fract_y
_atom_site_fract_z
Sr1 Sr 0.000 0.000 0.000
Sr2 Sr 0.250 0.250 0.500
Al1 Al 0.000 0.500 0.500
H1 H 0.052 0.311 0.303
H2 H 0.119 0.500 0.692
Se1 Se 0.215 0.000 0.972
```

Calculated values
electronic total energy: -3.50 eV/atom
DOS at the Fermi energy: 11.010 states/eV/cell

# 2
First-principles (PBE) data for TaCdP2S after structural relaxation, as listed in Alexandria.

```
data_TaCdP2S
_cell_length_a 4.795
_cell_length_b 4.795
_cell_length_c 4.791
_cell_angle_alpha 90.00
_cell_angle_beta 90.00
_cell_angle_gamma 90.00
_symmetry_space_group_name_H-M 'P 4/m m m'
_symmetry_Int_Tables_number 123
_symmetry_space_group_name_Hall '-P 4 2'
loop_
_atom_site_label
_atom_site_type_symbol
_atom_site_fract_x
_atom_site_fract_y
_atom_site_fract_z
Ta1 Ta 0.000 0.000 0.000
Cd1 Cd 0.500 0.500 0.500
P1 P 0.000 0.500 0.500
S1 S 0.500 0.500 0.000
```

Calculated values
relative energy among the computed polymorphs: 133.4 kJ per mole of atoms
E_form (uncorrected): 146.70 kJ per mole of atoms
DOS at the Fermi energy: 5.085 states/eV/cell

# 3
First-principles (PBE) data for TbYEr2S4 after structural relaxation, as listed in Alexandria.

```
data_TbYEr2S4
_cell_length_a 6.751
_cell_length_b 3.859
_cell_length_c 6.778
_cell_angle_alpha 90.00
_cell_angle_beta 109.06
_cell_angle_gamma 90.00
_symmetry_space_group_name_H-M 'P 1 2/m 1'
_symmetry_Int_Tables_number 10
_symmetry_space_group_name_Hall '-P 2y'
loop_
_atom_site_label
_atom_site_type_symbol
_atom_site_fract_x
_atom_site_fract_y
_atom_site_fract_z
Tb1 Tb 0.000 0.000 0.000
Y1 Y 0.500 0.500 0.000
Er1 Er 0.000 0.500 0.500
Er2 Er 0.500 0.000 0.500
S1 S 0.248 0.000 0.744
S2 S 0.252 0.500 0.256
```

Calculated values
E_form (uncorrected): -190.78 kJ per mole of atoms
DOS at the Fermi energy: 4.750 states/eV/cell

# 4
First-principles (PBE) data for SbIr after structural relaxation, as listed in Alexandria.

```
data_SbIr
_cell_length_a 3.9038
_cell_length_b 3.9038
_cell_length_c 7.6409
_cell_angle_alpha 90.00
_cell_angle_beta 90.00
_cell_angle_gamma 120.00
_symmetry_space_group_name_H-M 'P 63 m c'
_symmetry_Int_Tables_number 186
_symmetry_space_group_name_Hall 'P 6c -2c'
loop_
_atom_site_label
_atom_site_type_symbol
_atom_site_fract_x
_atom_site_fract_y
_atom_site_fract_z
Sb1 Sb 0.3333 0.6667 0.0000
Ir1 Ir 0.3333 0.6667 0.6572
```

Calculated values
E_form (uncorrected): 20.49 kJ per mole of atoms
DOS at the Fermi energy: 1.214 states/eV/cell

# 5
First-principles (PBE) data for CrNi2Pt3 after structural relaxation, as listed in Alexandria.

```
data_CrNi2Pt3
_cell_length_a 3.865
_cell_length_b 11.594
_cell_length_c 7.343
_cell_angle_alpha 90.00
_cell_angle_beta 90.00
_cell_angle_gamma 90.00
_symmetry_space_group_name_H-M 'C m m m'
_symmetry_Int_Tables_number 65
_symmetry_space_group_name_Hall '-C 2 2'
loop_
_atom_site_label
_atom_site_type_symbol
_atom_site_fract_x
_atom_site_fract_y
_atom_site_fract_z
Cr1 Cr 0.000 0.158 0.000
Ni1 Ni 0.000 0.171 0.500
Ni2 Ni 0.000 0.500 0.000
Ni3 Ni 0.000 0.500 0.500
Pt1 Pt 0.000 0.000 0.257
Pt2 Pt 0.000 0.333 0.246
```

Calculated values
energy of formation: -102 kJ/mol of formula units
DOS at the Fermi energy: 37.188 states/eV/cell

# 6
First-principles (PBE) data for Tb2RuPb after structural relaxation, as listed in Alexandria.

```
data_Tb2RuPb
_cell_length_a 3.450
_cell_length_b 3.450
_cell_length_c 8.220
_cell_angle_alpha 90.00
_cell_angle_beta 90.00
_cell_angle_gamma 90.00
_symmetry_space_group_name_H-M 'P 4/m m m'
_symmetry_Int_Tables_number 123
_symmetry_space_group_name_Hall '-P 4 2'
loop_
_atom_site_label
_atom_site_type_symbol
_atom_site_fract_x
_atom_site_fract_y
_atom_site_fract_z
Tb1 Tb 0.000 0.000 0.202
Ru1 Ru 0.500 0.500 0.000
Pb1 Pb 0.500 0.500 0.500
```

Calculated values
relative energy among the computed polymorphs: 0.0 kJ per mole of atoms
energy of formation: -177 kJ/mol of formula units
DOS at the Fermi energy: 1.360 states/eV/cell